# 1
First-principles (GGA-PBE) data for Rb4Ac3CrSe8 after structural relaxation, as listed in the Alexandria database.

abc: 9.5417 9.5417 9.5417
angles: 55.53 55.53 55.53
Positions (direct):
1 Rb 0.0000 0.0000 0.0000
2 Rb 0.0000 0.5000 0.5000
3 Rb 0.5000 0.0000 0.5000
4 Rb 0.5000 0.5000 0.0000
5 Ac 0.0000 0.0000 0.5000
6 Ac 0.0000 0.5000 0.0000
7 Ac 0.5000 0.0000 0.0000
8 Cr 0.5000 0.5000 0.5000
9 Se 0.2380 0.2380 0.2380
10 Se 0.2677 0.7123 0.7123
11 Se 0.2877 0.2877 0.7323
12 Se 0.2877 0.7323 0.2877
13 Se 0.7123 0.2677 0.7123
14 Se 0.7123 0.7123 0.2677
15 Se 0.7323 0.2877 0.2877
16 Se 0.7620 0.7620 0.7620

**Crystal system**: trigonal
**Energy relative to the elements, uncorrected**: -1461 meV per atom



# 2
First-principles (GGA-PBE) data for Ba2MgAu after structural relaxation, as listed in the Alexandria database.

abc: 8.3308 4.8052 8.9804
angles: 90.00 107.93 90.00
Positions (direct):
1 Ba 0.0000 0.0000 0.0000
2 Ba 0.1770 0.0000 0.5323
3 Ba 0.5000 0.5000 0.0000
4 Ba 0.6770 0.5000 0.5323
5 Mg 0.4216 0.0000 0.2662
6 Mg 0.9216 0.5000 0.2662
7 Au 0.2545 0.5000 0.2654
8 Au 0.7545 0.0000 0.2654

**Crystal system**: monoclinic
**Fermi-level density of states**: 6.12 states/eV/cell
**Total DFT energy (no corrections)**: -0.095 Ha/atom



# 3
First-principles (GGA-PBE) data for Ba5Hg2HRh after structural relaxation, as listed in the Alexandria database.

abc: 10.3988 10.3988 14.6756
angles: 90.00 90.00 154.29
Positions (direct):
1 Ba 0.0006 0.9994 0.5000
2 Ba 0.1470 0.8530 0.7249
3 Ba 0.1904 0.8096 0.0979
4 Ba 0.2139 0.7861 0.3820
5 Ba 0.4455 0.5545 0.7414
6 Ba 0.5545 0.4455 0.2414
7 Ba 0.7861 0.2139 0.8820
8 Ba 0.8096 0.1904 0.5979
9 Ba 0.8530 0.1470 0.2249
10 Ba 0.9994 0.0006 0.0000
11 Hg 0.3711 0.6289 0.0337
12 Hg 0.3905 0.6095 0.4101
13 Hg 0.6095 0.3905 0.9101
14 Hg 0.6289 0.3711 0.5337
15 H 0.0594 0.9406 0.1560
16 H 0.9406 0.0594 0.6560
17 Rh 0.2952 0.7048 0.7411
18 Rh 0.7048 0.2952 0.2411

**Crystal system**: orthorhombic
**Fermi-level density of states**: 11.97 states/eV/cell
**Total DFT energy (no corrections)**: -0.099 Ha/atom



# 4
First-principles (GGA-PBE) data for In2ReAu after structural relaxation, as listed in the Alexandria database.

abc: 3.0914 3.0914 27.5961
angles: 90.00 90.00 120.00
Positions (direct):
1 In 0.0000 0.0000 0.2470
2 In 0.0000 0.0000 0.7530
3 In 0.3333 0.6667 0.4197
4 In 0.3333 0.6667 0.9136
5 In 0.6667 0.3333 0.0864
6 In 0.6667 0.3333 0.5803
7 Re 0.0000 0.0000 0.5000
8 Re 0.3333 0.6667 0.1667
9 Re 0.6667 0.3333 0.8333
10 Au 0.0000 0.0000 0.0000
11 Au 0.3333 0.6667 0.6667
12 Au 0.6667 0.3333 0.3333

**Crystal system**: trigonal
**Fermi-level density of states**: 9.20 states/eV/cell
**ΔE to the lowest computed polymorph**: 0.19 eV/f.u.



# 5
First-principles (GGA-PBE) data for TlHgSbAs after structural relaxation, as listed in the Alexandria database.

abc: 6.8048 3.9264 9.0488
angles: 90.00 104.48 90.00
Positions (direct):
1 Tl 0.0000 0.0000 0.0000
2 Tl 0.5000 0.5000 0.0000
3 Hg 0.2562 0.5000 0.2749
4 Hg 0.7562 0.0000 0.2749
5 Sb 0.1824 0.0000 0.5531
6 Sb 0.6824 0.5000 0.5531
7 As 0.0739 0.5000 0.7302
8 As 0.5739 0.0000 0.7302

**Crystal system**: monoclinic
**Energy relative to the elements, uncorrected**: 28 meV per atom
**Fermi-level density of states**: 4.14 states/eV/cell



# 6
First-principles (GGA-PBE) data for AlTcGe3 after structural relaxation, as listed in the Alexandria database.

abc: 4.8247 4.8247 4.8247
angles: 90.00 90.00 90.00
Positions (direct):
1 Al 0.0000 0.0000 0.0000
2 Tc 0.5000 0.5000 0.5000
3 Ge 0.0000 0.5000 0.5000
4 Ge 0.5000 0.0000 0.5000
5 Ge 0.5000 0.5000 0.0000

**Crystal system**: cubic
**Fermi-level density of states**: 5.00 states/eV/cell
**ΔE to the lowest computed polymorph**: 0.00 eV/f.u.



# 7
First-principles (GGA-PBE) data for PmMgScTi after structural relaxation, as listed in the Alexandria database.

abc: 7.3072 7.3072 7.3072
angles: 90.00 90.00 90.00
Positions (direct):
1 Pm 0.0000 0.0000 0.0000
2 Pm 0.0000 0.5000 0.5000
3 Pm 0.5000 0.0000 0.5000
4 Pm 0.5000 0.5000 0.0000
5 Mg 0.2500 0.2500 0.2500
6 Mg 0.2500 0.7500 0.7500
7 Mg 0.7500 0.2500 0.7500
8 Mg 0.7500 0.7500 0.2500
9 Sc 0.0000 0.0000 0.5000
10 Sc 0.0000 0.5000 0.0000
11 Sc 0.5000 0.0000 0.0000
12 Sc 0.5000 0.5000 0.5000
13 Ti 0.2500 0.2500 0.7500
14 Ti 0.2500 0.7500 0.2500
15 Ti 0.7500 0.2500 0.2500
16 Ti 0.7500 0.7500 0.7500

**Crystal system**: cubic
**Fermi-level density of states**: 27.52 states/eV/cell
**Total DFT energy (no corrections)**: -0.183 Ha/atom



# 8
First-principles (GGA-PBE) data for Tm3Co4Ge13 after structural relaxation, as listed in the Alexandria database.

abc: 8.7494 8.7494 8.7494
angles: 90.00 90.00 90.00
Positions (direct):
1 Tm 0.0000 0.2500 0.5000
2 Tm 0.0000 0.7500 0.5000
3 Tm 0.2500 0.5000 0.0000
4 Tm 0.5000 0.0000 0.2500
5 Tm 0.5000 0.0000 0.7500
6 Tm 0.7500 0.5000 0.0000
7 Co 0.2500 0.2500 0.2500
8 Co 0.2500 0.2500 0.7500
9 Co 0.2500 0.7500 0.2500
10 Co 0.2500 0.7500 0.7500
11 Co 0.7500 0.2500 0.2500
12 Co 0.7500 0.2500 0.7500
13 Co 0.7500 0.7500 0.2500
14 Co 0.7500 0.7500 0.7500
15 Ge 0.0000 0.0000 0.0000
16 Ge 0.0000 0.3044 0.1531
17 Ge 0.0000 0.3044 0.8469
18 Ge 0.0000 0.6956 0.1531
19 Ge 0.0000 0.6956 0.8469
20 Ge 0.1531 0.0000 0.3044
21 Ge 0.1531 0.0000 0.6956
22 Ge 0.1956 0.5000 0.3469
23 Ge 0.1956 0.5000 0.6531
24 Ge 0.3044 0.1531 0.0000
25 Ge 0.3044 0.8469 0.0000
26 Ge 0.3469 0.1956 0.5000
27 Ge 0.3469 0.8044 0.5000
28 Ge 0.5000 0.3469 0.1956
29 Ge 0.5000 0.3469 0.8044
30 Ge 0.5000 0.5000 0.5000
31 Ge 0.5000 0.6531 0.1956
32 Ge 0.5000 0.6531 0.8044
33 Ge 0.6531 0.1956 0.5000
34 Ge 0.6531 0.8044 0.5000
35 Ge 0.6956 0.1531 0.0000
36 Ge 0.6956 0.8469 0.0000
37 Ge 0.8044 0.5000 0.3469
38 Ge 0.8044 0.5000 0.6531
39 Ge 0.8469 0.0000 0.3044
40 Ge 0.8469 0.0000 0.6956

**Crystal system**: cubic
**Fermi-level density of states**: 16.19 states/eV/cell
**Total DFT energy (no corrections)**: -0.202 Ha/atom



no.,density (Mg/m³)
1,5.15
2,4.82
3,5.75
4,13.37
5,8.54
6,5.07
7,4.46
8,8.36